A geometry-optimized Th2Sc7Co2 structure, computed with GGA-PBE.

- calculated volume (Å³ per cell) = 252
- E (eV/atom) = -6.66
- E_form (eV per formula unit) = 0.08

POSCAR file:
```
Th2Sc7Co2
1.0
-1.254 0.542 3.244
7.624 1.595 3.730
0.643 8.611 -0.141
Th Sc Co
2 7 2
direct
0.779 0.603 0.603
0.221 0.397 0.397
0.642 0.104 0.624
0.358 0.376 0.896
0.358 0.896 0.376
0.642 0.624 0.104
0.500 0.000 0.000
0.855 0.192 0.192
0.145 0.808 0.808
0.000 0.787 0.213
0.000 0.213 0.787
```

---

A geometry-optimized BeCr2Mo structure, computed with GGA-PBE.

- calculated volume (Å³ per cell) = 99
- E (eV/atom) = -7.77
- E_form (eV per formula unit) = 2.71

POSCAR file:
```
BeCr2Mo
1.0
-5.352 -1.224 3.657
2.554 -5.811 1.793
-0.397 -2.522 4.523
Cr Mo Be
4 2 2
direct
0.576 0.125 0.250
0.174 0.625 0.250
0.375 0.424 0.750
0.875 0.826 0.750
0.000 0.000 0.000
0.750 0.250 0.500
0.500 0.500 0.000
0.250 0.750 0.500
```

---

A geometry-optimized CaMg2Ir structure, computed with GGA-PBE.

- calculated volume (Å³ per cell) = 86
- E (eV/atom) = -3.69
- E_form (eV per formula unit) = -0.69

POSCAR file:
```
CaMg2Ir
1.0
-1.105 -2.667 -1.582
3.111 -0.970 -0.538
3.031 -4.996 6.304
Ca Ir Mg
1 1 2
direct
0.500 0.250 0.250
0.500 0.750 0.750
0.000 0.070 0.929
0.000 0.430 0.571
```

---

A geometry-optimized Zr2AgPd7 structure, computed with GGA-PBE.

- calculated volume (Å³ per cell) = 206
- E (eV/atom) = -5.61
- E_form (eV per formula unit) = 0.25

POSCAR file:
```
Zr2AgPd7
1.0
3.965 0.000 0.000
0.000 8.034 -0.756
0.000 -4.223 6.877
Zr Ag Pd
2 1 7
direct
0.500 0.692 0.308
0.500 0.308 0.692
0.000 0.000 0.000
0.000 0.809 0.191
0.000 0.191 0.809
0.500 0.088 0.294
0.500 0.912 0.706
0.500 0.294 0.088
0.500 0.706 0.912
0.500 0.500 0.500
```

---

A geometry-optimized Ta2Rh structure, computed with GGA-PBE.

- calculated volume (Å³ per cell) = 154
- E (eV/atom) = -10.51
- E_form (eV per formula unit) = -0.46

POSCAR file:
```
Ta2Rh
1.0
3.830 -6.634 0.000
3.830 6.634 0.000
0.000 0.000 3.036
Ta Rh
6 3
direct
0.000 0.274 0.000
0.000 0.603 0.500
0.274 0.000 0.000
0.726 0.726 0.000
0.603 0.000 0.500
0.397 0.397 0.500
0.000 0.000 0.500
0.333 0.667 0.000
0.667 0.333 0.000
```

---

A geometry-optimized PuGe2O8 structure, computed with GGA-PBE.

- calculated volume (Å³ per cell) = 157
- energy relative to the elements, uncorrected (eV per atom) = -1.433
- E (eV/atom) = -7.18

POSCAR file:
```
PuGe2O8
1.0
-4.187 -1.681 1.932
-0.807 -1.859 -5.370
3.426 -4.283 1.693
Pu Ge O
1 2 8
direct
0.000 0.000 0.000
0.531 0.692 0.692
0.469 0.308 0.308
0.261 0.318 0.015
0.739 0.985 0.682
0.250 0.835 0.835
0.750 0.165 0.165
0.261 0.015 0.318
0.739 0.682 0.985
0.740 0.507 0.507
0.260 0.493 0.493
```

---

A geometry-optimized Pm2PuUSb4 structure, computed with GGA-PBE.

- calculated volume (Å³ per cell) = 248
- energy relative to the elements, uncorrected (eV per atom) = -0.777
- E (eV/atom) = -7.23

POSCAR file:
```
Pm2PuUSb4
1.0
4.423 0.000 0.000
0.000 7.748 0.171
0.000 -2.671 7.193
Pm Pu U Sb
2 1 1 4
direct
0.500 0.000 0.500
0.000 0.500 0.500
0.000 0.000 0.000
0.500 0.500 0.000
0.500 0.250 0.242
0.500 0.750 0.758
0.000 0.253 0.756
0.000 0.747 0.244
```

---

A geometry-optimized ZnReSi2 structure, computed with GGA-PBE.

- calculated volume (Å³ per cell) = 56
- energy relative to the elements, uncorrected (eV per atom) = 0.359
- E (eV/atom) = -5.78

POSCAR file:
```
ZnReSi2
1.0
3.150 0.000 0.000
0.000 4.423 0.000
0.000 0.000 4.014
Re Si Zn
1 2 1
direct
0.000 0.500 0.500
0.000 0.000 0.000
0.500 0.500 0.000
0.500 0.000 0.500
```

---

A geometry-optimized ZrReTeI2 structure, computed with GGA-PBE.

- calculated volume (Å³ per cell) = 186
- energy relative to the elements, uncorrected (eV per atom) = 0.927
- E (eV/atom) = -4.52

POSCAR file:
```
ZrReTeI2
1.0
-3.709 1.606 4.105
-4.407 -1.227 -3.501
-0.100 -5.258 1.968
I Re Te Zr
2 1 1 1
direct
0.000 0.500 0.000
0.500 0.000 0.000
0.500 0.500 0.500
0.000 0.000 0.500
0.000 0.000 0.000
```

---

A geometry-optimized AcAgS2 structure, computed with GGA-PBE.

- calculated volume (Å³ per cell) = 101
- energy relative to the elements, uncorrected (eV per atom) = -1.171
- E (eV/atom) = -4.98

POSCAR file:
```
AcAgS2
1.0
4.204 0.000 0.000
2.102 3.641 0.000
2.102 1.214 6.625
Ac Ag S
1 1 2
direct
0.497 0.497 0.508
0.681 0.681 0.957
0.072 0.072 0.784
0.250 0.250 0.250
```

---

A geometry-optimized LiTe2Au structure, computed with GGA-PBE.

- calculated volume (Å³ per cell) = 218
- energy relative to the elements, uncorrected (eV per atom) = -0.256
- E (eV/atom) = -3.12

POSCAR file:
```
LiTe2Au
1.0
-2.201 3.780 2.664
1.993 -1.887 4.324
6.662 5.639 2.424
Te Au Li
4 2 2
direct
0.617 0.125 0.250
0.133 0.625 0.250
0.375 0.383 0.750
0.875 0.867 0.750
0.000 0.000 0.000
0.750 0.250 0.500
0.500 0.500 0.000
0.250 0.750 0.500
```

---

A geometry-optimized K14RbAu structure, computed with GGA-PBE.

- calculated volume (Å³ per cell) = 1094
- E (eV/atom) = -1.24
- E_form (eV per formula unit) = -0.27

POSCAR file:
```
K14RbAu
1.0
9.439 0.360 0.000
-2.287 9.164 0.000
0.000 0.000 12.527
K Rb Au
14 1 1
direct
0.109 0.891 0.000
0.595 0.405 0.000
0.125 0.384 0.500
0.075 0.376 0.000
0.616 0.875 0.500
0.624 0.925 0.000
0.451 0.194 0.687
0.451 0.194 0.313
0.806 0.549 0.687
0.806 0.549 0.313
0.346 0.654 0.765
0.346 0.654 0.235
0.888 0.112 0.729
0.888 0.112 0.271
0.122 0.878 0.500
0.751 0.249 0.500
```

---

A geometry-optimized MgAlHg2 structure, computed with GGA-PBE.

- calculated volume (Å³ per cell) = 93
- E (eV/atom) = -1.45
- E_form (eV per formula unit) = 0.15

POSCAR file:
```
MgAlHg2
1.0
-3.580 0.501 1.600
-2.066 -3.133 1.242
0.987 -0.298 7.183
Mg Al Hg
1 1 2
direct
0.500 0.500 0.501
0.667 0.667 0.998
0.078 0.078 0.767
0.255 0.255 0.234
```

---

A geometry-optimized Ca4AgRh structure, computed with GGA-PBE.

- calculated volume (Å³ per cell) = 353
- E (eV/atom) = -3.37
- E_form (eV per formula unit) = -2.00

POSCAR file:
```
Ca4AgRh
1.0
-4.763 2.291 3.717
-2.432 -7.424 -2.773
6.737 -0.631 4.789
Ca Ag Rh
8 2 2
direct
0.789 0.649 0.774
0.088 0.945 0.288
0.711 0.226 0.351
0.412 0.712 0.055
0.588 0.288 0.945
0.289 0.774 0.649
0.912 0.055 0.712
0.211 0.351 0.226
0.750 0.636 0.364
0.250 0.364 0.636
0.250 0.999 0.001
0.750 0.001 0.999
```

---

A geometry-optimized Na3CrSb structure, computed with GGA-PBE.

- calculated volume (Å³ per cell) = 204
- energy relative to the elements, uncorrected (eV per atom) = 0.457
- E (eV/atom) = -3.08

POSCAR file:
```
Na3CrSb
1.0
5.890 0.000 0.000
0.000 5.890 0.000
0.000 0.000 5.890
Sb Na Cr
1 3 1
direct
0.000 0.000 0.000
0.000 0.500 0.000
0.000 0.000 0.500
0.500 0.000 0.000
0.500 0.500 0.500
```

---

A geometry-optimized ScAgRu2 structure, computed with GGA-PBE.

- calculated volume (Å³ per cell) = 64
- E (eV/atom) = -6.90
- E_form (eV per formula unit) = 0.14

POSCAR file:
```
ScAgRu2
1.0
4.047 0.000 0.000
0.000 3.972 0.000
0.000 0.000 3.972
Ag Ru Sc
1 2 1
direct
0.500 0.000 0.500
0.000 0.000 0.000
0.000 0.500 0.500
0.500 0.500 0.000
```

---

A geometry-optimized Rb2Li2CeSe4 structure, computed with GGA-PBE.

- calculated volume (Å³ per cell) = 258
- energy relative to the elements, uncorrected (eV per atom) = -1.433
- E (eV/atom) = -4.28

POSCAR file:
```
Rb2Li2CeSe4
1.0
4.357 0.000 0.000
0.000 7.997 0.299
-2.179 -2.902 7.287
Rb Li Ce Se
2 2 1 4
direct
0.139 0.566 0.277
0.861 0.434 0.723
0.681 0.988 0.361
0.319 0.012 0.639
0.000 0.000 0.000
0.193 0.162 0.387
0.807 0.838 0.613
0.516 0.772 0.032
0.484 0.228 0.968
```

---

A geometry-optimized CoGe structure, computed with GGA-PBE.

- calculated volume (Å³ per cell) = 107
- E (eV/atom) = -5.96
- E_form (eV per formula unit) = -0.19

POSCAR file:
```
CoGe
1.0
5.534 0.000 0.001
0.000 3.043 0.000
-5.464 0.000 6.370
Ge Co
4 4
direct
0.738 0.000 0.289
0.262 0.000 0.711
0.738 0.500 0.789
0.262 0.500 0.211
0.807 0.000 0.044
0.193 0.000 0.956
0.807 0.500 0.544
0.193 0.500 0.456
```

---

A geometry-optimized PmBiAs2O8 structure, computed with GGA-PBE.

- calculated volume (Å³ per cell) = 156
- energy relative to the elements, uncorrected (eV per atom) = -1.814
- E (eV/atom) = -6.61

POSCAR file:
```
PmBiAs2O8
1.0
5.151 0.000 0.000
0.000 5.151 0.000
-2.575 -2.575 5.863
Pm Bi As O
1 1 2 8
direct
0.750 0.250 0.500
0.000 0.000 0.000
0.500 0.500 0.000
0.250 0.750 0.500
0.719 0.827 0.157
0.439 0.331 0.157
0.575 0.683 0.654
0.079 0.971 0.654
0.029 0.425 0.346
0.317 0.921 0.346
0.173 0.561 0.843
0.669 0.281 0.843
```

---

A geometry-optimized CaTe2Pt structure, computed with GGA-PBE.

- calculated volume (Å³ per cell) = 103
- energy relative to the elements, uncorrected (eV per atom) = -0.585
- E (eV/atom) = -4.17

POSCAR file:
```
CaTe2Pt
1.0
-0.260 -6.684 2.195
0.494 -6.147 -3.395
2.642 6.406 1.243
Ca Te Pt
1 2 1
direct
0.453 0.453 0.000
0.053 0.053 0.000
0.771 0.271 0.500
0.223 0.723 0.500
```